A plane-wave DFT calculation with GGA+U was carried out for a geometry-optimized BeTlVO4 structure.

Properties
Its uncorrected energy is -6.505 eV/atom.

Lattice parameters (Å, degrees): 4.8497 5.3032 8.7614 90.00 121.94 90.00
Last column: nearest neighbours and their distance in Å.
Fractional coordinates of all 14 atoms:
Be1 0.2086 0.7500 0.3667  4 O 1.62-1.65
Be2 0.7914 0.2500 0.6333  4 O 1.62-1.65
Tl1 0.6114 0.7500 0.8753  1 O 2.51
Tl2 0.3886 0.2500 0.1247  1 O 2.51
V1 0.7918 0.7500 0.4762  4 O 1.80-1.93
V2 0.2082 0.2500 0.5238  4 O 1.80-1.93
O1 0.0284 0.4794 0.6420  1 Be 1.65
O2 0.9716 0.9794 0.3580  1 Be 1.65
O3 0.9716 0.5206 0.3580  1 Be 1.65
O4 0.0284 0.0206 0.6420  1 Be 1.65
O5 0.4030 0.7500 0.2629  1 Be 1.62
O6 0.5970 0.2500 0.7371  1 Be 1.62
O7 0.5393 0.7500 0.5700  1 Be 1.65, 1 V 1.80
O8 0.4607 0.2500 0.4300  1 Be 1.65, 1 V 1.80